First-principles (GGA-PBE) data for a relaxed structure of ErGaW, as listed in OQMD.

Lattice parameters (Å, degrees): 4.4884 4.4884 4.4884 60.00 60.00 60.00
Closest atoms and distances in Å follow each position.
Fractional coordinates of all 3 atoms:
Ga  0.0000  0.0000  0.0000  4 W 2.75, 4 Er 2.75
W  0.7500  0.7500  0.7500  4 Ga 2.75
Er  0.2500  0.2500  0.2500  4 Ga 2.75

Calculated values
- Crystal system: cubic
- Calculated total energy: -6.345 eV/atom
- Polymorph energy (0 for the lowest one): 0.0 meV/atom
- M_tot: 0.2 μB/cell